No. 1
This record from Alexandria describes a relaxed LiAg2W crystal. The functional is PBE-GGA.

POSCAR file:
```
LiAg2W
1.0
-4.181 -1.126 2.515
-2.177 -2.322 3.865
0.201 3.980 3.227
Ag Li W
2 1 1
Direct
0.001 0.001 0.031
0.747 0.747 0.720
0.497 0.497 0.526
0.255 0.255 0.223
```

Properties
- Spin magnetization: 0.002 μB/atom
- Space-group type: Cm, No. 8
- Formation energy: 0.4780 eV/atom

No. 2
This record from Alexandria describes a relaxed LiAgW2 crystal. The functional is PBE-GGA.

POSCAR file:
```
LiAgW2
1.0
-2.860 -2.954 -1.790
2.678 -0.489 -3.563
1.606 -0.632 4.139
Ag Li W
1 1 2
Direct
0.500 0.500 0.000
0.750 0.250 0.500
0.000 0.000 0.000
0.250 0.750 0.500
```

Properties
- Spin magnetization: 0.000 μB/atom
- Space-group type: I-4m2, No. 119
- Formation energy: 0.6608 eV/atom